The following is a PBE calculation of Pm2NdMgO after structural relaxation, from the Alexandria database.

Total moment in μB/f.u.: 0.00
Uncorrected formation energy in meV/atom: -1183

a b c (Å): 5.0348 4.9755 4.9755
angles (deg): 90.00 90.00 90.00
Fractional coordinates of all 5 atoms:
Mg 0.5000 0.5000 0.5000
Pm 0.0000 0.0000 0.5000
Pm 0.0000 0.5000 0.0000
O 0.0000 0.0000 0.0000
Nd 0.5000 0.0000 0.0000

=====

The following is a PBE calculation of PmNd2MgO after structural relaxation, from the Alexandria database.

Total moment in μB/f.u.: 0.00
Uncorrected formation energy in meV/atom: -1179

a b c (Å): 4.9644 5.0325 5.0325
angles (deg): 90.00 90.00 90.00
Fractional coordinates of all 5 atoms:
O 0.0000 0.0000 0.0000
Nd 0.0000 0.5000 0.0000
Nd 0.0000 0.0000 0.5000
Pm 0.5000 0.0000 0.0000
Mg 0.5000 0.5000 0.5000

=====

The following is a PBE calculation of Pr2NdMgO after structural relaxation, from the Alexandria database.

Total moment in μB/f.u.: 0.00
Uncorrected formation energy in meV/atom: -1166

a b c (Å): 5.0099 5.0765 5.0765
angles (deg): 90.00 90.00 90.00
Fractional coordinates of all 5 atoms:
O 0.0000 0.0000 0.0000
Nd 0.5000 0.0000 0.0000
Mg 0.5000 0.5000 0.5000
Pr 0.0000 0.5000 0.0000
Pr 0.0000 0.0000 0.5000

=====

Number 1: VASP energy -26.7 eV per formula unit. Number 2: VASP energy -26.7 eV per formula unit. Number 3: VASP energy -26.7 eV per formula unit.